(1)
First-principles (GGA-PBE) data for CsSeO2 after structural relaxation, as listed in the Alexandria database.

Properties
The calculation puts the magnetization at 0.0 μB/cell. The space-group type is No. 122. Its total energy is -4.2106 eV/atom. The uncorrected formation energy is -2.588 eV/f.u.

Lattice parameters (Å, degrees): 5.702 5.702 6.929 65.70 65.70 90.00
Element x y z (fractional)
Cs: 0.000 0.000 0.000
Cs: 0.750 0.250 0.500
O: 0.447 0.125 0.250
O: 0.303 0.625 0.250
O: 0.375 0.553 0.750
O: 0.875 0.697 0.750
Se: 0.500 0.500 0.000
Se: 0.250 0.750 0.500


(2)
First-principles (GGA-PBE) data for Cs9Se3O2 after structural relaxation, as listed in the Alexandria database.

Properties
The calculation puts the magnetization at 2.6 μB/cell. The space-group type is No. 167. Its total energy is -2.9917 eV/atom. The uncorrected formation energy is -13.832 eV/f.u.

Lattice parameters (Å, degrees): 10.351 10.351 10.351 86.51 86.51 86.51
Element x y z (fractional)
Cs: 0.730 0.921 0.089
Cs: 0.079 0.911 0.270
Cs: 0.250 0.411 0.089
Cs: 0.579 0.770 0.411
Cs: 0.589 0.911 0.750
Cs: 0.911 0.750 0.589
Cs: 0.230 0.589 0.421
Cs: 0.589 0.421 0.230
Cs: 0.911 0.270 0.079
Cs: 0.089 0.730 0.921
Cs: 0.411 0.579 0.770
Cs: 0.411 0.089 0.250
Cs: 0.770 0.411 0.579
Cs: 0.089 0.250 0.411
Cs: 0.421 0.230 0.589
Cs: 0.750 0.589 0.911
Cs: 0.921 0.089 0.730
Cs: 0.270 0.079 0.911
Se: 0.417 0.750 0.083
Se: 0.250 0.917 0.583
Se: 0.917 0.583 0.250
Se: 0.083 0.417 0.750
Se: 0.750 0.083 0.417
Se: 0.583 0.250 0.917
O: 0.146 0.146 0.146
O: 0.646 0.646 0.646
O: 0.854 0.854 0.854
O: 0.354 0.354 0.354


(3)
First-principles (GGA-PBE) data for Cs2SeO4 after structural relaxation, as listed in the Alexandria database.

Properties
The calculation puts the magnetization at 0.6 μB/cell. The space-group type is No. 62. Its total energy is -4.9921 eV/atom. The uncorrected formation energy is -9.920 eV/f.u.

Lattice parameters (Å, degrees): 6.568 8.574 11.511 90.00 90.00 90.00
Element x y z (fractional)
Cs: 0.750 0.676 0.413
Cs: 0.750 0.493 0.796
Cs: 0.250 0.507 0.204
Cs: 0.250 0.007 0.296
Cs: 0.750 0.993 0.704
Cs: 0.250 0.324 0.587
Cs: 0.750 0.176 0.087
Cs: 0.250 0.824 0.913
Se: 0.250 0.768 0.580
Se: 0.750 0.232 0.420
Se: 0.750 0.732 0.080
Se: 0.250 0.268 0.920
O: 0.750 0.036 0.419
O: 0.041 0.203 0.851
O: 0.459 0.703 0.649
O: 0.250 0.200 0.057
O: 0.750 0.536 0.081
O: 0.959 0.297 0.351
O: 0.541 0.297 0.351
O: 0.541 0.797 0.149
O: 0.750 0.800 0.943
O: 0.041 0.703 0.649
O: 0.459 0.203 0.851
O: 0.250 0.700 0.443
O: 0.250 0.464 0.919
O: 0.750 0.300 0.557
O: 0.959 0.797 0.149
O: 0.250 0.964 0.581


Which value of magnetization does entry 2 give? 2.6 μB/cell